# Cd3Au2 GGA-PBE relaxed
# Polymorph energy (0 for the lowest one) in eV/atom: 0.126
data_Cd3Au2
_symmetry_space_group_name_H-M 'I 4/m m m'
_symmetry_Int_Tables_number 139
_symmetry_space_group_name_Hall '-I 4 2'
_cell_length_a 3.230
_cell_length_b 3.230
_cell_length_c 19.482
_cell_angle_alpha 90.00
_cell_angle_beta 90.00
_cell_angle_gamma 90.00
loop_
_atom_site_label
_atom_site_fract_x
_atom_site_fract_y
_atom_site_fract_z
Cd1 0.000 0.000 0.000
Cd2 0.000 0.000 0.390
Au1 0.000 0.000 0.203

# Sm2TlIn3Te6 GGA-PBE relaxed
# E in eV/atom: -3.97
data_Sm2TlIn3Te6
_symmetry_space_group_name_H-M 'C 1 2/m 1'
_symmetry_Int_Tables_number 12
_symmetry_space_group_name_Hall '-C 2y'
_cell_length_a 20.304
_cell_length_b 4.392
_cell_length_c 9.528
_cell_angle_alpha 90.00
_cell_angle_beta 102.06
_cell_angle_gamma 90.00
loop_
_atom_site_label
_atom_site_fract_x
_atom_site_fract_y
_atom_site_fract_z
Sm1 0.171 0.000 0.343
Tl1 0.000 0.500 0.000
In1 0.000 0.500 0.500
In2 0.167 0.000 0.845
Te1 0.010 0.000 0.286
Te2 0.169 0.500 0.581
Te3 0.171 0.500 0.112

# Cs3PrF7 GGA-PBE relaxed
# E in eV/atom: -4.83
data_Cs3PrF7
_symmetry_space_group_name_H-M 'C 1 m 1'
_symmetry_Int_Tables_number 8
_symmetry_space_group_name_Hall 'C -2y'
_cell_length_a 9.375
_cell_length_b 9.677
_cell_length_c 7.596
_cell_angle_alpha 90.00
_cell_angle_beta 123.12
_cell_angle_gamma 90.00
loop_
_atom_site_label
_atom_site_fract_x
_atom_site_fract_y
_atom_site_fract_z
Cs1 0.000 0.000 0.000
Cs2 0.012 0.267 0.514
Pr1 0.466 0.000 0.982
F1 0.125 0.500 0.827
F2 0.153 0.334 0.234
F3 0.168 0.000 0.733
F4 0.367 0.000 0.207
F5 0.390 0.220 0.814

# Ho4SiSb GGA-PBE relaxed
# E in eV/atom: -5.02
data_Ho4SiSb
_symmetry_space_group_name_H-M 'P 1 21/m 1'
_symmetry_Int_Tables_number 11
_symmetry_space_group_name_Hall '-P 2yb'
_cell_length_a 5.779
_cell_length_b 8.767
_cell_length_c 7.383
_cell_angle_alpha 90.00
_cell_angle_beta 103.48
_cell_angle_gamma 90.00
loop_
_atom_site_label
_atom_site_fract_x
_atom_site_fract_y
_atom_site_fract_z
Ho1 0.020 0.051 0.236
Ho2 0.406 0.750 0.488
Ho3 0.446 0.250 0.992
Si1 0.083 0.750 0.078
Sb1 0.120 0.250 0.589

# Ce2Ni3Ge4 GGA-PBE relaxed
# E in eV/atom: -5.89
data_Ce2Ni3Ge4
_symmetry_space_group_name_H-M 'C m c e'
_symmetry_Int_Tables_number 64
_symmetry_space_group_name_Hall '-C 2ac 2'
_cell_length_a 5.665
_cell_length_b 14.511
_cell_length_c 7.393
_cell_angle_alpha 90.00
_cell_angle_beta 90.00
_cell_angle_gamma 90.00
loop_
_atom_site_label
_atom_site_fract_x
_atom_site_fract_y
_atom_site_fract_z
Ce1 0.000 0.112 0.093
Ni1 0.000 0.000 0.500
Ni2 0.250 0.226 0.750
Ge1 0.000 0.182 0.481
Ge2 0.250 0.058 0.750

# TaVAs2Br GGA-PBE relaxed
# Polymorph energy (0 for the lowest one) in eV/atom: 0.241
data_TaVAs2Br
_symmetry_space_group_name_H-M 'P 4/m m m'
_symmetry_Int_Tables_number 123
_symmetry_space_group_name_Hall '-P 4 2'
_cell_length_a 4.758
_cell_length_b 4.758
_cell_length_c 4.888
_cell_angle_alpha 90.00
_cell_angle_beta 90.00
_cell_angle_gamma 90.00
loop_
_atom_site_label
_atom_site_fract_x
_atom_site_fract_y
_atom_site_fract_z
Ta1 0.000 0.000 0.000
V1 0.500 0.500 0.500
As1 0.000 0.500 0.500
Br1 0.500 0.500 0.000

# RuRh GGA-PBE relaxed
# E in eV/atom: -7.19
data_RuRh
_symmetry_space_group_name_H-M 'F -4 3 m'
_symmetry_Int_Tables_number 216
_symmetry_space_group_name_Hall 'F -4 2 3'
_cell_length_a 5.490
_cell_length_b 5.490
_cell_length_c 5.490
_cell_angle_alpha 90.00
_cell_angle_beta 90.00
_cell_angle_gamma 90.00
loop_
_atom_site_label
_atom_site_fract_x
_atom_site_fract_y
_atom_site_fract_z
Ru1 0.000 0.000 0.000
Rh1 0.250 0.250 0.750

# Ac5Co4Ru GGA-PBE relaxed
# E in eV/atom: -5.81
data_Ac5Co4Ru
_symmetry_space_group_name_H-M 'C 1 2/m 1'
_symmetry_Int_Tables_number 12
_symmetry_space_group_name_Hall '-C 2y'
_cell_length_a 18.232
_cell_length_b 4.196
_cell_length_c 8.049
_cell_angle_alpha 90.00
_cell_angle_beta 115.98
_cell_angle_gamma 90.00
loop_
_atom_site_label
_atom_site_fract_x
_atom_site_fract_y
_atom_site_fract_z
Ac1 0.000 0.000 0.000
Ac2 0.109 0.500 0.488
Ac3 0.208 0.500 0.133
Co1 0.065 0.500 0.782
Co2 0.121 0.000 0.827
Ru1 0.000 0.000 0.500

# HfMgGe3 GGA-PBE relaxed
# Polymorph energy (0 for the lowest one) in eV/atom: 0.431
data_HfMgGe3
_symmetry_space_group_name_H-M 'P m -3 m'
_symmetry_Int_Tables_number 221
_symmetry_space_group_name_Hall '-P 4 2 3'
_cell_length_a 4.854
_cell_length_b 4.854
_cell_length_c 4.854
_cell_angle_alpha 90.00
_cell_angle_beta 90.00
_cell_angle_gamma 90.00
loop_
_atom_site_label
_atom_site_fract_x
_atom_site_fract_y
_atom_site_fract_z
Hf1 0.000 0.000 0.000
Mg1 0.500 0.500 0.500
Ge1 0.000 0.500 0.500

# Pm3HoIn GGA-PBE relaxed
# Polymorph energy (0 for the lowest one) in eV/atom: 0.088
data_Pm3HoIn
_symmetry_space_group_name_H-M 'P m m n'
_symmetry_Int_Tables_number 59
_cell_length_a 5.461
_cell_length_b 8.462
_cell_length_c 7.061
_cell_angle_alpha 90.00
_cell_angle_beta 90.00
_cell_angle_gamma 90.00
loop_
_symmetry_equiv_pos_as_xyz
'x,y,z'
'-x,-y,-z'
'-x+1/2,-y+1/2,z'
'x+1/2,y+1/2,-z'
'x+1/2,-y,-z'
'-x+1/2,y,z'
'-x,y+1/2,-z'
'x,-y+1/2,z'
loop_
_atom_site_label
_atom_site_fract_x
_atom_site_fract_y
_atom_site_fract_z
Pm1 0.250 0.061 0.221
Pm2 0.250 0.250 0.718
Ho1 0.250 0.750 0.555
In1 0.250 0.750 0.981

# InSiAu2 GGA-PBE relaxed
# E in eV/atom: -3.51
data_InSiAu2
_symmetry_space_group_name_H-M 'I m m m'
_symmetry_Int_Tables_number 71
_symmetry_space_group_name_Hall '-I 2 2'
_cell_length_a 3.611
_cell_length_b 5.260
_cell_length_c 8.381
_cell_angle_alpha 90.00
_cell_angle_beta 90.00
_cell_angle_gamma 90.00
loop_
_atom_site_label
_atom_site_fract_x
_atom_site_fract_y
_atom_site_fract_z
In1 0.000 0.000 0.000
Si1 0.000 0.000 0.500
Au1 0.000 0.500 0.222

# SiNi4P2 GGA-PBE relaxed
# E in eV/atom: -6.01
data_SiNi4P2
_symmetry_space_group_name_H-M 'P n m a'
_symmetry_Int_Tables_number 62
_symmetry_space_group_name_Hall '-P 2ac 2n'
_cell_length_a 9.178
_cell_length_b 3.546
_cell_length_c 10.254
_cell_angle_alpha 90.00
_cell_angle_beta 90.00
_cell_angle_gamma 90.00
loop_
_atom_site_label
_atom_site_fract_x
_atom_site_fract_y
_atom_site_fract_z
Si1 0.225 0.250 0.143
Ni1 0.041 0.750 0.799
Ni2 0.098 0.750 0.045
Ni3 0.111 0.250 0.625
Ni4 0.157 0.750 0.284
P1 0.062 0.250 0.405
P2 0.145 0.250 0.902